# CrInP2O PBE with a Hubbard U optimized geometry
data_CrInP2O
_chemical_formula_sum 'Cr1 In1 P2 O1'
_symmetry_space_group_name_H-M 'P 1'
_symmetry_Int_Tables_number 1
_symmetry_space_group_name_Hall 'P 1'
_cell_length_a 5.1773
_cell_length_b 5.1773
_cell_length_c 3.9994
_cell_angle_alpha 90.00
_cell_angle_beta 90.00
_cell_angle_gamma 90.00
loop_
_atom_site_label
_atom_site_type_symbol
_atom_site_fract_x
_atom_site_fract_y
_atom_site_fract_z
_atom_site_occupancy
Cr1 Cr 0.0000 0.0000 0.0000 1
In1 In 0.5000 0.5000 0.5000 1
P1 P 0.0000 0.5000 0.5000 1
P2 P 0.5000 0.0000 0.5000 1
O1 O 0.5000 0.5000 0.0000 1
# Mass density in g/cm³: 3.79
# Fermi-level density of states in states/eV/f.u.: 3.98
# Energy relative to the lowest polymorph listed for this composition in eV per atom: 1.117